Record 1
A relaxed structure of B9H11, computed with PBE.

Cell: 9.2715 13.3334 12.7310 Å, 90.00 109.87 90.00°
Positions (direct):
B  0.0071  0.0926  0.1474
B  0.0071  0.4074  0.6474
B  0.0365  0.5854  0.2262
B  0.0365  0.9146  0.7262
B  0.0842  0.5042  0.7381
B  0.0842  0.9958  0.2381
B  0.0899  0.1581  0.4047
B  0.0899  0.3419  0.9047
B  0.1215  0.0322  0.3784
B  0.1215  0.4678  0.8784
B  0.2072  0.0700  0.1880
B  0.2072  0.4300  0.6880
B  0.2372  0.2311  0.3810
B  0.2372  0.2689  0.8810
B  0.2757  0.0255  0.3248
B  0.2757  0.4745  0.8248
B  0.2811  0.1110  0.4335
B  0.2812  0.2207  0.7694
B  0.2812  0.2793  0.2694
B  0.2811  0.3890  0.9335
B  0.3265  0.1488  0.8956
B  0.3265  0.3512  0.3956
B  0.3368  0.1500  0.3145
B  0.3368  0.3500  0.8145
B  0.3582  0.7285  0.0025
B  0.3582  0.7715  0.5025
B  0.3791  0.7207  0.6308
B  0.3791  0.7793  0.1308
B  0.4374  0.6527  0.1228
B  0.4374  0.8473  0.6228
B  0.4501  0.1495  0.8175
B  0.4501  0.3505  0.3175
B  0.4524  0.6531  0.5376
B  0.4524  0.8469  0.0376
B  0.4561  0.2271  0.2652
B  0.4561  0.2729  0.7652
B  0.5439  0.7271  0.2348
B  0.5439  0.7729  0.7348
B  0.5476  0.1531  0.9624
B  0.5476  0.3469  0.4624
B  0.5499  0.6495  0.6825
B  0.5499  0.8505  0.1825
B  0.5626  0.1527  0.3772
B  0.5626  0.3473  0.8772
B  0.6209  0.2207  0.8692
B  0.6209  0.2793  0.3692
B  0.6418  0.2285  0.4975
B  0.6418  0.2715  0.9975
B  0.6632  0.6500  0.1855
B  0.6632  0.8500  0.6855
B  0.6735  0.6488  0.6044
B  0.6735  0.8512  0.1044
B  0.7189  0.6110  0.0665
B  0.7188  0.7207  0.7306
B  0.7188  0.7793  0.2306
B  0.7189  0.8890  0.5665
B  0.7243  0.5255  0.1752
B  0.7243  0.9745  0.6752
B  0.7628  0.7311  0.1190
B  0.7628  0.7689  0.6190
B  0.7928  0.5700  0.3120
B  0.7928  0.9300  0.8120
B  0.8785  0.5322  0.1216
B  0.8785  0.9678  0.6216
B  0.9101  0.6581  0.0953
B  0.9101  0.8419  0.5953
B  0.9158  0.0042  0.7619
B  0.9158  0.4958  0.2619
B  0.9635  0.0854  0.2738
B  0.9635  0.4146  0.7738
B  0.9929  0.5926  0.3526
B  0.9929  0.9074  0.8526
H  0.0387  0.1807  0.4755
H  0.0387  0.3193  0.9755
H  0.0423  0.6611  0.2956
H  0.0423  0.8389  0.7956
H  0.0494  0.5891  0.7115
H  0.0494  0.9109  0.2115
H  0.0814  0.2393  0.3443
H  0.0814  0.2607  0.8443
H  0.0825  0.5909  0.4452
H  0.0825  0.9091  0.9452
H  0.0931  0.5253  0.9406
H  0.0931  0.9747  0.4406
H  0.1231  0.1508  0.1467
H  0.1231  0.3492  0.6467
H  0.1662  0.5718  0.2324
H  0.1662  0.9282  0.7324
H  0.1811  0.1978  0.6853
H  0.1811  0.3022  0.1853
H  0.2449  0.7115  0.9254
H  0.2449  0.7885  0.4254
H  0.2587  0.0753  0.9043
H  0.2587  0.4247  0.4043
H  0.2625  0.0468  0.1197
H  0.2625  0.4532  0.6197
H  0.2700  0.6962  0.6541
H  0.2700  0.8038  0.1541
H  0.3133  0.2117  0.9713
H  0.3133  0.2883  0.4713
H  0.3682  0.0987  0.5262
H  0.3682  0.4013  0.0262
H  0.3716  0.5381  0.8435
H  0.3716  0.9619  0.3435
H  0.3730  0.5786  0.1346
H  0.3730  0.9214  0.6346
H  0.3946  0.5815  0.4837
H  0.3946  0.9185  0.9837
H  0.4436  0.6459  0.0203
H  0.4436  0.8541  0.5203
H  0.4527  0.0718  0.7717
H  0.4527  0.4282  0.2717
H  0.4544  0.7222  0.4627
H  0.4544  0.7778  0.9627
H  0.4639  0.2053  0.1764
H  0.4639  0.2947  0.6764
H  0.5361  0.7053  0.3236
H  0.5361  0.7947  0.8236
H  0.5456  0.2222  0.0373
H  0.5456  0.2778  0.5373
H  0.5473  0.5718  0.7283
H  0.5473  0.9282  0.2283
H  0.5564  0.1459  0.4797
H  0.5564  0.3541  0.9797
H  0.6054  0.0815  0.0163
H  0.6054  0.4185  0.5163
H  0.6270  0.0786  0.3654
H  0.6270  0.4214  0.8654
H  0.6284  0.0381  0.6565
H  0.6284  0.4619  0.1565
H  0.6318  0.5987  0.9738
H  0.6318  0.9013  0.4738
H  0.6867  0.7117  0.5287
H  0.6867  0.7883  0.0287
H  0.7300  0.1962  0.8459
H  0.7300  0.3038  0.3459
H  0.7375  0.5468  0.3803
H  0.7375  0.9532  0.8803
H  0.7413  0.5753  0.5957
H  0.7413  0.9247  0.0957
H  0.7551  0.2115  0.5746
H  0.7551  0.2885  0.0746
H  0.8189  0.6978  0.8147
H  0.8189  0.8022  0.3147
H  0.8338  0.0718  0.2676
H  0.8338  0.4282  0.7676
H  0.8769  0.6508  0.3533
H  0.8769  0.8492  0.8533
H  0.9069  0.0253  0.5594
H  0.9069  0.4747  0.0594
H  0.9175  0.0909  0.0548
H  0.9175  0.4091  0.5548
H  0.9186  0.7393  0.1557
H  0.9186  0.7607  0.6557
H  0.9506  0.0891  0.7885
H  0.9506  0.4109  0.2885
H  0.9577  0.1611  0.2044
H  0.9577  0.3389  0.7044
H  0.9613  0.6807  0.0245
H  0.9613  0.8193  0.5245

Output
**Space group**: No. 14
**Total energy**: -4.96 eV/atom

Record 2
A relaxed structure of KAlSbS4, computed with PBE.

Cell: 6.3386 6.8723 8.5369 Å, 90.00 102.04 90.00°
Positions (direct):
K  0.1789  0.2500  0.0733
K  0.8211  0.7500  0.9267
Al  0.3667  0.2500  0.6679
Al  0.6333  0.7500  0.3321
Sb  0.1666  0.7500  0.4421
Sb  0.8334  0.2500  0.5579
S  0.1407  0.0025  0.7057
S  0.1407  0.4975  0.7057
S  0.3023  0.7500  0.1756
S  0.4312  0.2500  0.4214
S  0.5688  0.7500  0.5786
S  0.6977  0.2500  0.8244
S  0.8593  0.5025  0.2943
S  0.8593  0.9975  0.2943

Output
**Space group**: No. 11
**Raw formation energy**: -0.6899 eV per atom
**Total energy**: -4.33 eV/atom